Compound: Tb5Er2Tm5
Source: Alexandria via LeMat-Bulk
Functional: PBE
Structure: optimized geometry

Cell: 7.8499 7.8499 11.1255 Å, 115.08 115.08 36.87°
Closest atoms and distances in Å follow each position.
Sites, in units of the cell vectors:
Tb: 0.0000 0.0000 0.0000  6 Tm 3.51-3.52, 4 Er 3.51, 2 Tb 3.52
Tb: 0.0837 0.0837 0.7502  7 Tm 3.50-3.52, 3 Tb 3.51-3.52, 2 Er 3.52
Tb: 0.1662 0.1662 0.4995  5 Tm 3.51-3.53, 4 Tb 3.51-3.52, 3 Er 3.52
Tb: 0.8338 0.8338 0.5005  5 Tm 3.51-3.53, 4 Tb 3.51-3.52, 3 Er 3.52
Tb: 0.9163 0.9163 0.2498  7 Tm 3.50-3.52, 3 Tb 3.51-3.52, 2 Er 3.52
Er: 0.4166 0.4166 0.7507  5 Tm 3.51-3.52, 7 Tb 3.51-3.52
Er: 0.5834 0.5834 0.2493  5 Tm 3.51-3.52, 7 Tb 3.51-3.52
Tm: 0.2495 0.2495 0.2490  4 Tm 3.50-3.52, 6 Tb 3.51-3.53, 2 Er 3.51
Tm: 0.3326 0.3326 0.9996  5 Tm 3.50-3.51, 5 Tb 3.50-3.52, 2 Er 3.51-3.52
Tm: 0.5000 0.5000 0.5000  8 Tb 3.51-3.52, 2 Tm 3.52, 2 Er 3.52
Tm: 0.6674 0.6674 0.0004  5 Tm 3.50-3.51, 5 Tb 3.50-3.52, 2 Er 3.51-3.52
Tm: 0.7505 0.7505 0.7510  4 Tm 3.50-3.52, 6 Tb 3.51-3.53, 2 Er 3.51

Magnetic moment (Bohr magnetons per cell): 0.00
Volume (Å³ per atom): 30.7
Calculated density (kg/m³): 8907

Compound: Tb2Er8Tm3
Source: Alexandria via LeMat-Bulk
Functional: PBE
Structure: optimized geometry

Cell: 9.3705 9.3705 5.9677 Å, 95.76 95.76 55.21°
Closest atoms and distances in Å follow each position.
Sites, in units of the cell vectors:
Tb: 0.2272 0.2272 0.0534  7 Er 3.13-3.34
Tb: 0.7728 0.7728 0.9466  7 Er 3.13-3.34
Er: 0.1670 0.1670 0.5376  2 Tb 3.13-3.16, 2 Tm 3.24, 1 Er 3.49
Er: 0.2022 0.5844 0.9618  2 Tm 3.21-3.58, 2 Tb 3.32-3.34, 4 Er 3.32-3.52
Er: 0.3726 0.3726 0.4656  1 Tb 3.25, 2 Tm 3.38, 5 Er 3.38-3.49
Er: 0.4156 0.7978 0.0382  2 Tm 3.21-3.58, 2 Tb 3.32-3.34, 4 Er 3.32-3.52
Er: 0.5844 0.2022 0.9618  2 Tm 3.21-3.58, 2 Tb 3.32-3.34, 4 Er 3.32-3.52
Er: 0.6274 0.6274 0.5344  1 Tb 3.25, 2 Tm 3.38, 5 Er 3.38-3.49
Er: 0.7978 0.4156 0.0382  2 Tm 3.21-3.58, 2 Tb 3.32-3.34, 4 Er 3.32-3.52
Er: 0.8330 0.8330 0.4624  2 Tb 3.13-3.16, 2 Tm 3.24, 1 Er 3.49
Tm: 0.0000 0.0000 0.0000  4 Er 3.21, 4 Tm 3.43
Tm: 0.1958 0.8042 0.5000  8 Er 3.24-3.62, 3 Tm 3.40-3.43
Tm: 0.8042 0.1958 0.5000  8 Er 3.24-3.62, 3 Tm 3.40-3.43

Excess energy over the best structure of this formula in the dataset (eV per atom): 0.163
Magnetic moment (Bohr magnetons per cell): 0.00
Volume (Å³ per atom): 32.9
Calculated density (kg/m³): 8399

| no. | Fermi-level density of states (states/eV per atom) | calculated formation energy (kJ per mole of atoms) |
| --- | --- | --- |
| 1 | 1.392 | 2 |
| 2 | 1.583 | 39 |